# Pm3SbN PBE-GGA optimized geometry
data_Pm3SbN
_symmetry_space_group_name_H-M 'P 1'
_symmetry_Int_Tables_number 1
_symmetry_space_group_name_Hall 'P 1'
_cell_length_a 6.716
_cell_length_b 4.973
_cell_length_c 7.785
_cell_angle_alpha 90.00
_cell_angle_beta 90.00
_cell_angle_gamma 90.00
loop_
_atom_site_label
_atom_site_type_symbol
_atom_site_fract_x
_atom_site_fract_y
_atom_site_fract_z
_atom_site_occupancy
Pm1 Pm 0.000 0.000 0.000 1
Pm2 Pm 0.250 0.000 0.451 1
Pm3 Pm 0.250 0.500 0.745 1
Pm4 Pm 0.500 0.000 0.000 1
Pm5 Pm 0.750 0.000 0.549 1
Pm6 Pm 0.750 0.500 0.255 1
Sb1 Sb 0.250 0.500 0.172 1
Sb2 Sb 0.750 0.500 0.828 1
N1 N 0.250 0.000 0.746 1
N2 N 0.750 0.000 0.254 1
# - polymorph energy (0 for the lowest one) (eV per atom) = 0.159
# - space-group type = Pmma
# - formation energy from raw total energies (eV/f.u.) = -4.2
# - total magnetic moment (μB per formula unit) = 0.00

---

# YHPb3 PBE-GGA optimized geometry
data_YHPb3
_symmetry_space_group_name_H-M 'P 1'
_symmetry_Int_Tables_number 1
_symmetry_space_group_name_Hall 'P 1'
_cell_length_a 5.960
_cell_length_b 5.960
_cell_length_c 5.960
_cell_angle_alpha 90.00
_cell_angle_beta 90.00
_cell_angle_gamma 90.00
loop_
_atom_site_label
_atom_site_type_symbol
_atom_site_fract_x
_atom_site_fract_y
_atom_site_fract_z
_atom_site_occupancy
Y1 Y 0.000 0.000 0.000 1
H1 H 0.500 0.500 0.500 1
Pb1 Pb 0.000 0.000 0.500 1
Pb2 Pb 0.000 0.500 0.000 1
Pb3 Pb 0.500 0.000 0.000 1
# - polymorph energy (0 for the lowest one) (eV per atom) = 0.944
# - space-group type = Pm-3m
# - total magnetic moment (μB per formula unit) = 0.98

---

# AgC2 PBE-GGA optimized geometry
data_AgC2
_symmetry_space_group_name_H-M 'P 1'
_symmetry_Int_Tables_number 1
_symmetry_space_group_name_Hall 'P 1'
_cell_length_a 3.880
_cell_length_b 3.880
_cell_length_c 3.880
_cell_angle_alpha 119.43
_cell_angle_beta 119.43
_cell_angle_gamma 90.99
loop_
_atom_site_label
_atom_site_type_symbol
_atom_site_fract_x
_atom_site_fract_y
_atom_site_fract_z
_atom_site_occupancy
Ag1 Ag 0.000 0.000 0.000 1
C1 C 0.384 0.384 0.000 1
C2 C 0.616 0.616 0.000 1
# - energy of formation (meV per atom) = 1544.5
# - polymorph energy (0 for the lowest one) (eV per atom) = 1.212
# - space-group type = I4/mmm
# - total magnetic moment (μB per formula unit) = 0.00

---

# CsCeCl14 PBE-GGA optimized geometry
data_CsCeCl14
_symmetry_space_group_name_H-M 'P 1'
_symmetry_Int_Tables_number 1
_symmetry_space_group_name_Hall 'P 1'
_cell_length_a 11.727
_cell_length_b 11.727
_cell_length_c 5.498
_cell_angle_alpha 95.36
_cell_angle_beta 95.36
_cell_angle_gamma 111.52
loop_
_atom_site_label
_atom_site_type_symbol
_atom_site_fract_x
_atom_site_fract_y
_atom_site_fract_z
_atom_site_occupancy
Cs1 Cs 0.000 0.000 0.000 1
Ce1 Ce 0.256 0.744 0.000 1
Cl1 Cl 0.019 0.705 0.939 1
Cl2 Cl 0.205 0.509 0.960 1
Cl3 Cl 0.251 0.315 0.673 1
Cl4 Cl 0.253 0.747 0.500 1
Cl5 Cl 0.279 0.178 0.462 1
Cl6 Cl 0.295 0.981 0.061 1
Cl7 Cl 0.491 0.795 0.040 1
Cl8 Cl 0.529 0.092 0.788 1
Cl9 Cl 0.685 0.749 0.327 1
Cl10 Cl 0.689 0.119 0.644 1
Cl11 Cl 0.822 0.721 0.538 1
Cl12 Cl 0.881 0.311 0.356 1
Cl13 Cl 0.892 0.108 0.500 1
Cl14 Cl 0.908 0.471 0.212 1
# - space-group type = C2
# - formation energy from raw total energies (eV/f.u.) = -13.0
# - total magnetic moment (μB per formula unit) = 1.16

---

# Ti2VS2 PBE-GGA optimized geometry
data_Ti2VS2
_symmetry_space_group_name_H-M 'P 1'
_symmetry_Int_Tables_number 1
_symmetry_space_group_name_Hall 'P 1'
_cell_length_a 6.485
_cell_length_b 6.485
_cell_length_c 3.295
_cell_angle_alpha 90.00
_cell_angle_beta 90.00
_cell_angle_gamma 90.00
loop_
_atom_site_label
_atom_site_type_symbol
_atom_site_fract_x
_atom_site_fract_y
_atom_site_fract_z
_atom_site_occupancy
Ti1 Ti 0.153 0.347 0.000 1
Ti2 Ti 0.347 0.847 0.000 1
Ti3 Ti 0.653 0.153 0.000 1
Ti4 Ti 0.847 0.653 0.000 1
V1 V 0.000 0.000 0.500 1
V2 V 0.500 0.500 0.500 1
S1 S 0.155 0.655 0.500 1
S2 S 0.345 0.155 0.500 1
S3 S 0.655 0.845 0.500 1
S4 S 0.845 0.345 0.500 1
# - polymorph energy (0 for the lowest one) (eV per atom) = 0.045
# - space-group type = P4/mbm
# - formation energy from raw total energies (eV/f.u.) = -4.6
# - total magnetic moment (μB per formula unit) = 0.00

---

# Hf3InS6 PBE-GGA optimized geometry
data_Hf3InS6
_symmetry_space_group_name_H-M 'P 1'
_symmetry_Int_Tables_number 1
_symmetry_space_group_name_Hall 'P 1'
_cell_length_a 11.408
_cell_length_b 3.617
_cell_length_c 11.422
_cell_angle_alpha 90.00
_cell_angle_beta 107.33
_cell_angle_gamma 90.00
loop_
_atom_site_label
_atom_site_type_symbol
_atom_site_fract_x
_atom_site_fract_y
_atom_site_fract_z
_atom_site_occupancy
Hf1 Hf 0.032 0.250 0.144 1
Hf2 Hf 0.201 0.250 0.767 1
Hf3 Hf 0.347 0.750 0.462 1
Hf4 Hf 0.653 0.250 0.538 1
Hf5 Hf 0.799 0.750 0.233 1
Hf6 Hf 0.968 0.750 0.856 1
In1 In 0.408 0.750 0.126 1
In2 In 0.592 0.250 0.874 1
S1 S 0.047 0.750 0.672 1
S2 S 0.129 0.250 0.963 1
S3 S 0.184 0.750 0.248 1
S4 S 0.258 0.250 0.560 1
S5 S 0.358 0.750 0.854 1
S6 S 0.450 0.250 0.365 1
S7 S 0.550 0.750 0.635 1
S8 S 0.642 0.250 0.146 1
S9 S 0.742 0.750 0.440 1
S10 S 0.816 0.250 0.752 1
S11 S 0.871 0.750 0.037 1
S12 S 0.953 0.250 0.328 1
# - space-group type = P2_1/m
# - formation energy from raw total energies (eV/f.u.) = -13.4
# - total magnetic moment (μB per formula unit) = 0.00

---

# HgWAu PBE-GGA optimized geometry
data_HgWAu
_symmetry_space_group_name_H-M 'P 1'
_symmetry_Int_Tables_number 1
_symmetry_space_group_name_Hall 'P 1'
_cell_length_a 2.940
_cell_length_b 2.940
_cell_length_c 7.291
_cell_angle_alpha 90.00
_cell_angle_beta 90.00
_cell_angle_gamma 120.00
loop_
_atom_site_label
_atom_site_type_symbol
_atom_site_fract_x
_atom_site_fract_y
_atom_site_fract_z
_atom_site_occupancy
Hg1 Hg 0.000 0.000 0.000 1
W1 W 0.667 0.333 0.340 1
Au1 Au 0.333 0.667 0.651 1
# - energy of formation (meV per atom) = 530.3
# - polymorph energy (0 for the lowest one) (eV per atom) = 0.000
# - space-group type = P3m1
# - total magnetic moment (μB per formula unit) = 0.00

---

# LaP2Ru PBE-GGA optimized geometry
data_LaP2Ru
_symmetry_space_group_name_H-M 'P 1'
_symmetry_Int_Tables_number 1
_symmetry_space_group_name_Hall 'P 1'
_cell_length_a 4.354
_cell_length_b 4.375
_cell_length_c 4.460
_cell_angle_alpha 90.00
_cell_angle_beta 90.35
_cell_angle_gamma 90.00
loop_
_atom_site_label
_atom_site_type_symbol
_atom_site_fract_x
_atom_site_fract_y
_atom_site_fract_z
_atom_site_occupancy
La1 La 0.000 0.000 0.000 1
P1 P 0.483 0.500 0.178 1
P2 P 0.548 0.000 0.493 1
Ru1 Ru 0.455 0.500 0.685 1
# - energy of formation (meV per atom) = -724.2
# - polymorph energy (0 for the lowest one) (eV per atom) = 0.262
# - space-group type = Pm
# - total magnetic moment (μB per formula unit) = 0.00

---

- Among the records above, which one has the highest total magnetic moment?
  CsCeCl14